No. 1
# BaZr2Pb

An optimized crystal structure of BaZr2Pb (GGA-PBEsol, Alexandria).

Total magnetization = 0.000 μB/atom
Calculated total energy = -24.19 eV per cell
Mass density = 7.53 g/cm³

Lattice parameters (Å, degrees): 3.7159 3.7159 8.4173 90.00 90.00 90.00
Positions (direct):
Ba (0.0000, 0.0000, 0.0000)
Zr (0.0000, 0.0000, 0.4812)
Zr (0.5000, 0.5000, 0.6662)
Pb (0.5000, 0.5000, 0.2938)

No. 2
# LaSiNi

An optimized crystal structure of LaSiNi (GGA-PBEsol, Alexandria).

Total magnetization = 0.000 μB/atom
Formation energy from raw total energies = -0.7371 eV per atom
Calculated total energy = -77.85 eV per cell
Mass density = 6.34 g/cm³

Lattice parameters (Å, degrees): 4.1373 4.1373 13.8071 90.00 90.00 90.00
Positions (direct):
La (0.0000, 0.0000, 0.0000)
La (0.0000, 0.5000, 0.2500)
La (0.5000, 0.0000, 0.7500)
La (0.5000, 0.5000, 0.5000)
Si (0.0000, 0.0000, 0.4199)
Si (0.0000, 0.5000, 0.6699)
Si (0.5000, 0.0000, 0.1699)
Si (0.5000, 0.5000, 0.9199)
Ni (0.0000, 0.0000, 0.5893)
Ni (0.0000, 0.5000, 0.8393)
Ni (0.5000, 0.0000, 0.3393)
Ni (0.5000, 0.5000, 0.0893)

No. 3
# NbP2S2Cl5

An optimized crystal structure of NbP2S2Cl5 (GGA-PBEsol, Alexandria).

Total magnetization = 0.000 μB/atom
Formation energy from raw total energies = -0.7929 eV per atom
Calculated total energy = -393.13 eV per cell
Mass density = 2.38 g/cm³

Lattice parameters (Å, degrees): 6.3854 13.1561 26.6768 90.00 99.90 90.00
Positions (direct):
Nb (0.0265, 0.1088, 0.2001)
Nb (0.0265, 0.3912, 0.7001)
Nb (0.2517, 0.2151, 0.9741)
Nb (0.2517, 0.2849, 0.4741)
Nb (0.7483, 0.7151, 0.5259)
Nb (0.7483, 0.7849, 0.0259)
Nb (0.9735, 0.6088, 0.2999)
Nb (0.9735, 0.8912, 0.7999)
P (0.0514, 0.0594, 0.3583)
P (0.0514, 0.4406, 0.8583)
P (0.2432, 0.0832, 0.2958)
P (0.2432, 0.4168, 0.7958)
P (0.3233, 0.1498, 0.4019)
P (0.3233, 0.3502, 0.9019)
P (0.4695, 0.5871, 0.8807)
P (0.4695, 0.9129, 0.3807)
P (0.5305, 0.0871, 0.6193)
P (0.5305, 0.4129, 0.1193)
P (0.6767, 0.6498, 0.0981)
P (0.6767, 0.8502, 0.5981)
P (0.7568, 0.5832, 0.2042)
P (0.7568, 0.9168, 0.7042)
P (0.9486, 0.5594, 0.1417)
P (0.9486, 0.9406, 0.6417)
S (0.1345, 0.5869, 0.8813)
S (0.1345, 0.9131, 0.3813)
S (0.3765, 0.2167, 0.3329)
S (0.3765, 0.2833, 0.8329)
S (0.4428, 0.5413, 0.0718)
S (0.4428, 0.9587, 0.5718)
S (0.4636, 0.5358, 0.8046)
S (0.4636, 0.9642, 0.3046)
S (0.5364, 0.0358, 0.6954)
S (0.5364, 0.4642, 0.1954)
S (0.5572, 0.0413, 0.4282)
S (0.5572, 0.4587, 0.9282)
S (0.6235, 0.7167, 0.1671)
S (0.6235, 0.7833, 0.6671)
S (0.8655, 0.0869, 0.6187)
S (0.8655, 0.4131, 0.1187)
Cl (0.0584, 0.6973, 0.5855)
Cl (0.0584, 0.8027, 0.0855)
Cl (0.1102, 0.1326, 0.5002)
Cl (0.1102, 0.3674, 0.0002)
Cl (0.1210, 0.0384, 0.7718)
Cl (0.1210, 0.4616, 0.2718)
Cl (0.1717, 0.7047, 0.2506)
Cl (0.1717, 0.7953, 0.7506)
Cl (0.1836, 0.1048, 0.0351)
Cl (0.1836, 0.3952, 0.5351)
Cl (0.1874, 0.6350, 0.3766)
Cl (0.1874, 0.8650, 0.8766)
Cl (0.2604, 0.2466, 0.2037)
Cl (0.2604, 0.2534, 0.7037)
Cl (0.2921, 0.0084, 0.1762)
Cl (0.2921, 0.4916, 0.6762)
Cl (0.4142, 0.7268, 0.9861)
Cl (0.4142, 0.7732, 0.4861)
Cl (0.4230, 0.1089, 0.9244)
Cl (0.4230, 0.3911, 0.4244)
Cl (0.5770, 0.6089, 0.5756)
Cl (0.5770, 0.8911, 0.0756)
Cl (0.5858, 0.2268, 0.5139)
Cl (0.5858, 0.2732, 0.0139)
Cl (0.7079, 0.5084, 0.3238)
Cl (0.7079, 0.9916, 0.8238)
Cl (0.7396, 0.7466, 0.2963)
Cl (0.7396, 0.7534, 0.7963)
Cl (0.8126, 0.1350, 0.1234)
Cl (0.8126, 0.3650, 0.6234)
Cl (0.8164, 0.6048, 0.4649)
Cl (0.8164, 0.8952, 0.9649)
Cl (0.8283, 0.2047, 0.2494)
Cl (0.8283, 0.2953, 0.7494)
Cl (0.8790, 0.5384, 0.7282)
Cl (0.8790, 0.9616, 0.2282)
Cl (0.8898, 0.6326, 0.9998)
Cl (0.8898, 0.8674, 0.4998)
Cl (0.9416, 0.1973, 0.9145)
Cl (0.9416, 0.3027, 0.4145)

No. 4
# CoAgRu2

An optimized crystal structure of CoAgRu2 (GGA-PBEsol, Alexandria).

Total magnetization = 0.297 μB/atom
Calculated total energy = -59.11 eV per cell
Mass density = 11.28 g/cm³

Lattice parameters (Å, degrees): 2.6701 4.3495 9.3525 90.00 90.00 90.00
Positions (direct):
Co (0.0000, 0.0000, 0.0000)
Co (0.5000, 0.5000, 0.5000)
Ag (0.0000, 0.0000, 0.5000)
Ag (0.5000, 0.5000, 0.0000)
Ru (0.0000, 0.5000, 0.2832)
Ru (0.0000, 0.5000, 0.7168)
Ru (0.5000, 0.0000, 0.2168)
Ru (0.5000, 0.0000, 0.7832)

No. 5
# MnSe

An optimized crystal structure of MnSe (GGA-PBEsol, Alexandria).

Total magnetization = 2.438 μB/atom
Formation energy from raw total energies = -0.1320 eV per atom
Calculated total energy = -55.50 eV per cell
Mass density = 4.53 g/cm³

Lattice parameters (Å, degrees): 5.8134 5.8134 5.8134 90.00 90.00 90.00
Positions (direct):
Mn (0.0000, 0.0000, 0.0000)
Mn (0.0000, 0.5000, 0.5000)
Mn (0.5000, 0.0000, 0.5000)
Mn (0.5000, 0.5000, 0.0000)
Se (0.2500, 0.2500, 0.2500)
Se (0.2500, 0.7500, 0.7500)
Se (0.7500, 0.2500, 0.7500)
Se (0.7500, 0.7500, 0.2500)

No. 6
# ZrB3S

An optimized crystal structure of ZrB3S (GGA-PBEsol, Alexandria).

Total magnetization = 0.000 μB/atom
Formation energy from raw total energies = 2.2192 eV per atom
Calculated total energy = -23.43 eV per cell
Distance to the lowest polymorph of the same formula = 1192 meV/atom
Mass density = 2.84 g/cm³

Lattice parameters (Å, degrees): 4.4962 4.4962 4.4962 90.00 90.00 90.00
Positions (direct):
Zr (0.0000, 0.0000, 0.0000)
B (0.0000, 0.0000, 0.5000)
B (0.0000, 0.5000, 0.0000)
B (0.5000, 0.0000, 0.0000)
S (0.5000, 0.5000, 0.5000)

No. 7
# Tl2PtCl

An optimized crystal structure of Tl2PtCl (GGA-PBEsol, Alexandria).

Total magnetization = 0.000 μB/atom
Formation energy from raw total energies = -0.2648 eV per atom
Calculated total energy = -15.29 eV per cell
Distance to the lowest polymorph of the same formula = 4 meV/atom
Mass density = 12.03 g/cm³

Lattice parameters (Å, degrees): 3.2482 4.7905 5.6699 90.00 90.00 90.00
Positions (direct):
Tl (0.0000, 0.0000, 0.0000)
Tl (0.5000, 0.5000, 0.5000)
Pt (0.0000, 0.0000, 0.5000)
Cl (0.5000, 0.5000, 0.0000)

No. 8
# AlCo2Si

An optimized crystal structure of AlCo2Si (GGA-PBEsol, Alexandria).

Total magnetization = 0.000 μB/atom
Formation energy from raw total energies = -0.4095 eV per atom
Calculated total energy = -26.95 eV per cell
Mass density = 6.38 g/cm³

Lattice parameters (Å, degrees): 2.6393 3.5117 4.8564 90.00 90.00 90.00
Positions (direct):
Al (0.0000, 0.0000, 0.0000)
Co (0.0000, 0.0000, 0.5027)
Co (0.5000, 0.5000, 0.1907)
Si (0.5000, 0.5000, 0.6803)

No. 9
# KBe2Ir

An optimized crystal structure of KBe2Ir (GGA-PBEsol, Alexandria).

Total magnetization = 0.000 μB/atom
Calculated total energy = -31.88 eV per cell
Distance to the lowest polymorph of the same formula = 243 meV/atom
Mass density = 5.51 g/cm³

Lattice parameters (Å, degrees): 3.8007 5.5321 7.1416 90.00 90.00 90.00
Positions (direct):
K (0.0000, 0.0000, 0.0000)
K (0.5000, 0.5000, 0.5000)
Be (0.0000, 0.5000, 0.1566)
Be (0.0000, 0.5000, 0.8434)
Be (0.5000, 0.0000, 0.3434)
Be (0.5000, 0.0000, 0.6566)
Ir (0.0000, 0.0000, 0.5000)
Ir (0.5000, 0.5000, 0.0000)

No. 10
# Ti9S10

An optimized crystal structure of Ti9S10 (GGA-PBEsol, Alexandria).

Total magnetization = 0.000 μB/atom
Formation energy from raw total energies = -1.5403 eV per atom
Calculated total energy = -444.03 eV per cell
Mass density = 4.38 g/cm³

Lattice parameters (Å, degrees): 8.8824 8.9797 11.6250 77.58 70.88 85.97
Positions (direct):
Ti (0.0000, 0.0000, 0.0000)
Ti (0.9997, 0.3551, 0.4405)
Ti (0.0060, 0.3542, 0.9394)
Ti (0.0058, 0.6480, 0.5576)
Ti (0.0072, 0.9999, 0.4985)
Ti (0.1926, 0.3639, 0.1375)
Ti (0.2030, 0.0027, 0.2018)
Ti (0.2043, 0.9958, 0.7004)
Ti (0.2062, 0.3539, 0.6423)
Ti (0.2149, 0.6446, 0.2531)
Ti (0.3971, 0.3548, 0.8430)
Ti (0.4010, 0.0024, 0.4016)
Ti (0.4030, 0.6498, 0.4582)
Ti (0.4049, 0.0036, 0.8998)
Ti (0.4091, 0.6495, 0.9593)
Ti (0.4165, 0.3599, 0.3435)
Ti (0.5948, 0.3592, 0.5473)
Ti (0.5999, 0.6506, 0.1582)
Ti (0.6024, 0.9998, 0.6014)
Ti (0.6042, 0.0104, 0.0971)
Ti (0.6050, 0.6452, 0.6691)
Ti (0.8004, 0.6502, 0.8603)
Ti (0.8025, 0.0047, 0.8023)
Ti (0.8039, 0.3533, 0.2439)
Ti (0.8041, 0.9968, 0.3013)
Ti (0.8144, 0.3636, 0.7341)
Ti (0.9896, 0.6449, 0.0580)
S (0.0011, 0.8294, 0.8620)
S (0.0038, 0.1729, 0.1383)
S (0.0047, 0.1746, 0.6380)
S (0.0051, 0.8291, 0.3612)
S (0.0178, 0.5172, 0.7495)
S (0.2009, 0.5203, 0.9378)
S (0.2023, 0.1767, 0.3374)
S (0.2026, 0.1709, 0.8383)
S (0.2040, 0.8292, 0.5624)
S (0.2045, 0.8307, 0.0617)
S (0.2049, 0.4987, 0.4485)
S (0.3904, 0.5187, 0.6581)
S (0.3997, 0.1770, 0.0381)
S (0.4040, 0.8284, 0.7642)
S (0.4038, 0.8329, 0.2600)
S (0.4046, 0.1739, 0.5400)
S (0.4156, 0.4829, 0.1443)
S (0.6041, 0.1770, 0.7370)
S (0.6038, 0.8299, 0.4631)
S (0.6037, 0.8332, 0.9626)
S (0.6050, 0.1736, 0.2401)
S (0.6051, 0.4833, 0.8640)
S (0.6200, 0.5175, 0.3513)
S (0.7871, 0.4852, 0.0509)
S (0.7996, 0.8311, 0.1612)
S (0.8015, 0.5160, 0.5383)
S (0.8019, 0.1712, 0.4398)
S (0.8025, 0.8320, 0.6641)
S (0.8048, 0.1784, 0.9362)
S (0.9911, 0.5189, 0.2547)

No. 11
# ZnH2O2

An optimized crystal structure of ZnH2O2 (GGA-PBEsol, Alexandria).

Total magnetization = 0.000 μB/atom
Calculated total energy = -147.52 eV per cell
Mass density = 3.39 g/cm³

Lattice parameters (Å, degrees): 3.2680 7.8835 12.0262 71.65 83.57 89.84
Positions (direct):
Zn (0.0000, 0.0000, 0.0000)
Zn (0.0103, 0.5451, 0.9943)
Zn (0.0520, 0.8877, 0.7332)
Zn (0.5894, 0.4834, 0.6091)
Zn (0.6755, 0.8238, 0.3458)
Zn (0.7030, 0.3882, 0.3375)
H (0.0381, 0.2905, 0.7536)
H (0.2048, 0.1626, 0.2981)
H (0.2747, 0.0045, 0.2014)
H (0.3043, 0.7167, 0.1113)
H (0.3954, 0.0878, 0.8087)
H (0.3987, 0.3694, 0.1469)
H (0.4905, 0.2141, 0.0471)
H (0.6050, 0.0841, 0.5893)
H (0.6241, 0.8152, 0.5562)
H (0.7948, 0.6790, 0.1946)
H (0.9910, 0.2897, 0.5217)
H (0.9935, 0.5584, 0.7867)
O (0.0535, 0.4199, 0.7052)
O (0.0673, 0.7405, 0.0650)
O (0.0959, 0.0640, 0.8250)
O (0.1956, 0.9703, 0.2889)
O (0.2225, 0.2969, 0.2882)
O (0.4796, 0.4064, 0.0579)
O (0.4818, 0.0812, 0.0528)
O (0.5900, 0.9550, 0.6388)
O (0.6084, 0.6401, 0.2710)
O (0.6416, 0.7252, 0.5131)
O (0.6979, 0.3125, 0.5142)
O (0.9517, 0.6470, 0.8311)

No. 12
# LaSb2Rh

An optimized crystal structure of LaSb2Rh (GGA-PBEsol, Alexandria).

Total magnetization = 0.000 μB/atom
Formation energy from raw total energies = -0.4634 eV per atom
Calculated total energy = -24.45 eV per cell
Mass density = 9.05 g/cm³

Lattice parameters (Å, degrees): 3.3906 3.3906 7.7458 90.00 90.00 90.00
Positions (direct):
La (0.0000, 0.0000, 0.0000)
Sb (0.5000, 0.5000, 0.3003)
Sb (0.5000, 0.5000, 0.6997)
Rh (0.0000, 0.0000, 0.5000)